# 1
! BTeAuI2 | Alexandria | GGA-PBE | optimized geometry; values from VASP
! crystal system	tetragonal
! space-group type	P4/mmm
! offset from the most stable computed form	0	meV/atom
&SYSTEM
  ibrav = 0, nat = 5, ntyp = 4
/
ATOMIC_SPECIES
I 126.90 I.upf
B 10.81 B.upf
Te 127.60 Te.upf
Au 196.97 Au.upf
CELL_PARAMETERS angstrom
5.006 0.000 0.000
0.000 5.006 0.000
0.000 0.000 5.056
ATOMIC_POSITIONS crystal
I 0.000 0.500 0.000
I 0.500 0.000 0.000
B 0.000 0.000 0.000
Te 0.000 0.000 0.500
Au 0.500 0.500 0.500

# 2
! BTeAuI2 | Alexandria | GGA-PBE | optimized geometry; values from VASP
! crystal system	tetragonal
! space-group type	P4/mmm
! offset from the most stable computed form	283	meV/atom
&SYSTEM
  ibrav = 0, nat = 5, ntyp = 4
/
ATOMIC_SPECIES
I 126.90 I.upf
B 10.81 B.upf
Te 127.60 Te.upf
Au 196.97 Au.upf
CELL_PARAMETERS angstrom
5.607 0.000 0.000
0.000 5.607 0.000
0.000 0.000 5.550
ATOMIC_POSITIONS crystal
I 0.000 0.500 0.000
I 0.500 0.000 0.000
B 0.500 0.500 0.500
Te 0.000 0.000 0.500
Au 0.000 0.000 0.000

# 3
! TiBAu2I | Alexandria | GGA-PBE | optimized geometry; values from VASP
! crystal system	tetragonal
! space-group type	P4/mmm
&SYSTEM
  ibrav = 0, nat = 5, ntyp = 4
/
ATOMIC_SPECIES
I 126.90 I.upf
B 10.81 B.upf
Au 196.97 Au.upf
Ti 47.87 Ti.upf
CELL_PARAMETERS angstrom
4.234 0.000 0.000
0.000 5.838 0.000
0.000 0.000 4.234
ATOMIC_POSITIONS crystal
I 0.000 0.500 0.000
B 0.000 0.000 0.000
Au 0.000 0.000 0.500
Au 0.500 0.000 0.000
Ti 0.500 0.500 0.500

# 4
! In3BAu | Alexandria | GGA-PBE | optimized geometry; values from VASP
! formation energy	1.039	eV per atom
! crystal system	cubic
! space-group type	Pm-3m
! offset from the most stable computed form	585	meV/atom
&SYSTEM
  ibrav = 0, nat = 5, ntyp = 3
/
ATOMIC_SPECIES
B 10.81 B.upf
Au 196.97 Au.upf
In 114.82 In.upf
CELL_PARAMETERS angstrom
5.311 0.000 0.000
0.000 5.311 0.000
0.000 0.000 5.311
ATOMIC_POSITIONS crystal
B 0.500 0.500 0.500
Au 0.000 0.000 0.000
In 0.000 0.500 0.000
In 0.000 0.000 0.500
In 0.500 0.000 0.000

# 5
! In3BAu | Alexandria | GGA-PBE | optimized geometry; values from VASP
! formation energy	0.454	eV per atom
! crystal system	cubic
! space-group type	Pm-3m
! offset from the most stable computed form	0	meV/atom
&SYSTEM
  ibrav = 0, nat = 5, ntyp = 3
/
ATOMIC_SPECIES
B 10.81 B.upf
Au 196.97 Au.upf
In 114.82 In.upf
CELL_PARAMETERS angstrom
-1.914 3.897 -2.093
-0.778 -2.542 -4.021
-4.355 -1.259 1.638
ATOMIC_POSITIONS crystal
B 0.000 0.000 0.000
Au 0.500 0.500 0.500
In 0.000 0.500 0.000
In 0.000 0.000 0.500
In 0.500 0.000 0.000

# 6
! InB2Au | Alexandria | GGA-PBE | optimized geometry; values from VASP
! formation energy	0.832	eV per atom
! crystal system	tetragonal
! space-group type	I4_1/amd
&SYSTEM
  ibrav = 0, nat = 8, ntyp = 3
/
ATOMIC_SPECIES
B 10.81 B.upf
Au 196.97 Au.upf
In 114.82 In.upf
CELL_PARAMETERS angstrom
-3.115 -1.719 -1.772
2.045 -3.395 -0.301
-3.254 -4.813 5.932
ATOMIC_POSITIONS crystal
B 0.875 0.125 0.250
B 0.875 0.625 0.250
B 0.375 0.125 0.750
B 0.875 0.125 0.750
Au 0.000 0.000 0.000
Au 0.750 0.250 0.500
In 0.500 0.500 0.000
In 0.250 0.750 0.500

# 7
! InBAu2 | Alexandria | GGA-PBE | optimized geometry; values from VASP
! formation energy	0.348	eV per atom
! crystal system	tetragonal
! space-group type	I-42d
&SYSTEM
  ibrav = 0, nat = 8, ntyp = 3
/
ATOMIC_SPECIES
B 10.81 B.upf
Au 196.97 Au.upf
In 114.82 In.upf
CELL_PARAMETERS angstrom
5.331 0.000 0.000
0.000 5.331 0.000
2.665 2.665 6.115
ATOMIC_POSITIONS crystal
B 0.500 0.500 0.000
B 0.250 0.750 0.500
Au 0.510 0.125 0.250
Au 0.240 0.625 0.250
Au 0.375 0.490 0.750
Au 0.875 0.760 0.750
In 0.000 0.000 0.000
In 0.750 0.250 0.500

# 8
! InBAu2 | Alexandria | GGA-PBE | optimized geometry; values from VASP
! formation energy	0.809	eV per atom
! crystal system	cubic
! space-group type	Fm-3m
&SYSTEM
  ibrav = 0, nat = 4, ntyp = 3
/
ATOMIC_SPECIES
B 10.81 B.upf
Au 196.97 Au.upf
In 114.82 In.upf
CELL_PARAMETERS angstrom
-1.094 -2.968 3.390
-4.055 -2.245 -0.104
-0.106 -4.556 -0.852
ATOMIC_POSITIONS crystal
B 0.000 0.000 0.000
Au 0.250 0.250 0.250
Au 0.750 0.750 0.750
In 0.500 0.500 0.500

# 9
! In2BAuN | Alexandria | GGA-PBE | optimized geometry; values from VASP
! crystal system	tetragonal
! space-group type	P4/mmm
&SYSTEM
  ibrav = 0, nat = 5, ntyp = 4
/
ATOMIC_SPECIES
B 10.81 B.upf
N 14.01 N.upf
Au 196.97 Au.upf
In 114.82 In.upf
CELL_PARAMETERS angstrom
-0.029 4.734 -0.553
-4.153 0.008 0.285
0.326 0.553 4.723
ATOMIC_POSITIONS crystal
B 0.500 0.500 0.500
N 0.000 0.000 0.000
Au 0.000 0.500 0.000
In 0.000 0.000 0.500
In 0.500 0.000 0.000

# 10
! InB2AuS | Alexandria | GGA-PBE | optimized geometry; values from VASP
! crystal system	tetragonal
! space-group type	P4/mmm
&SYSTEM
  ibrav = 0, nat = 5, ntyp = 4
/
ATOMIC_SPECIES
S 32.06 S.upf
B 10.81 B.upf
Au 196.97 Au.upf
In 114.82 In.upf
CELL_PARAMETERS angstrom
-3.002 -1.158 2.249
3.544 -0.078 4.690
-0.894 3.750 0.738
ATOMIC_POSITIONS crystal
S 0.000 0.000 0.000
B 0.000 0.000 0.500
B 0.500 0.000 0.000
Au 0.500 0.500 0.500
In 0.000 0.500 0.000

# 11
! Sc2InBAu | Alexandria | GGA-PBE | optimized geometry; values from VASP
! formation energy	-0.264	eV per atom
! crystal system	tetragonal
! space-group type	P4/mmm
&SYSTEM
  ibrav = 0, nat = 5, ntyp = 4
/
ATOMIC_SPECIES
Sc 44.96 Sc.upf
B 10.81 B.upf
Au 196.97 Au.upf
In 114.82 In.upf
CELL_PARAMETERS angstrom
-2.625 3.842 0.485
-2.078 -1.846 3.379
3.172 1.797 2.932
ATOMIC_POSITIONS crystal
Sc 0.000 0.000 0.500
Sc 0.500 0.000 0.000
B 0.000 0.000 0.000
Au 0.500 0.500 0.500
In 0.000 0.500 0.000

# 12
! InB2TeAu | Alexandria | GGA-PBE | optimized geometry; values from VASP
! crystal system	tetragonal
! space-group type	P4/mmm
&SYSTEM
  ibrav = 0, nat = 5, ntyp = 4
/
ATOMIC_SPECIES
B 10.81 B.upf
Te 127.60 Te.upf
Au 196.97 Au.upf
In 114.82 In.upf
CELL_PARAMETERS angstrom
-2.559 0.356 3.214
-0.124 -9.148 0.914
3.233 0.211 2.551
ATOMIC_POSITIONS crystal
B 0.000 0.000 0.500
B 0.500 0.000 0.000
Te 0.000 0.500 0.000
Au 0.000 0.000 0.000
In 0.500 0.500 0.500

# 13
! In2BTeAu | Alexandria | GGA-PBE | optimized geometry; values from VASP
! crystal system	tetragonal
! space-group type	P4/mmm
&SYSTEM
  ibrav = 0, nat = 5, ntyp = 4
/
ATOMIC_SPECIES
B 10.81 B.upf
Te 127.60 Te.upf
Au 196.97 Au.upf
In 114.82 In.upf
CELL_PARAMETERS angstrom
-5.135 -3.354 -0.782
2.843 -4.300 -0.228
-0.503 -0.658 6.127
ATOMIC_POSITIONS crystal
B 0.500 0.500 0.500
Te 0.000 0.000 0.000
Au 0.000 0.500 0.000
In 0.000 0.000 0.500
In 0.500 0.000 0.000

# 14
! TiIn2BAu | Alexandria | GGA-PBE | optimized geometry; values from VASP
! formation energy	0.563	eV per atom
! crystal system	tetragonal
! space-group type	P4/mmm
&SYSTEM
  ibrav = 0, nat = 5, ntyp = 4
/
ATOMIC_SPECIES
B 10.81 B.upf
Ti 47.87 Ti.upf
Au 196.97 Au.upf
In 114.82 In.upf
CELL_PARAMETERS angstrom
4.859 0.000 0.000
0.000 4.157 0.000
0.000 0.000 4.859
ATOMIC_POSITIONS crystal
B 0.000 0.000 0.000
Ti 0.500 0.500 0.500
Au 0.000 0.500 0.000
In 0.000 0.000 0.500
In 0.500 0.000 0.000

# 15
! B2IrAu | Alexandria | GGA-PBE | optimized geometry; values from VASP
! formation energy	0.219	eV per atom
! crystal system	monoclinic
! space-group type	Cm
! offset from the most stable computed form	107	meV/atom
&SYSTEM
  ibrav = 0, nat = 8, ntyp = 3
/
ATOMIC_SPECIES
B 10.81 B.upf
Ir 192.22 Ir.upf
Au 196.97 Au.upf
CELL_PARAMETERS angstrom
2.891 0.000 -0.002
0.000 2.813 0.000
-2.844 0.000 11.893
ATOMIC_POSITIONS crystal
B 0.866 0.000 0.246
B 0.866 0.500 0.746
B 0.445 0.000 0.327
B 0.445 0.500 0.827
Ir 0.020 0.000 0.903
Ir 0.020 0.500 0.403
Au 0.717 0.000 0.595
Au 0.717 0.500 0.095

# 16
! B2IrAu | Alexandria | GGA-PBE | optimized geometry; values from VASP
! formation energy	0.261	eV per atom
! crystal system	triclinic
! space-group type	P1
! offset from the most stable computed form	149	meV/atom
&SYSTEM
  ibrav = 0, nat = 4, ntyp = 3
/
ATOMIC_SPECIES
B 10.81 B.upf
Ir 192.22 Ir.upf
Au 196.97 Au.upf
CELL_PARAMETERS angstrom
3.483 0.003 0.003
-1.071 3.536 -0.007
-1.183 -0.429 4.078
ATOMIC_POSITIONS crystal
B 0.942 0.682 0.581
B 0.473 0.443 0.219
Ir 0.070 0.797 0.127
Au 0.466 0.220 0.715

# 17
! BIr2Au | Alexandria | GGA-PBE | optimized geometry; values from VASP
! formation energy	0.042	eV per atom
! crystal system	trigonal
! space-group type	R-3m
! offset from the most stable computed form	0	meV/atom
&SYSTEM
  ibrav = 0, nat = 4, ntyp = 3
/
ATOMIC_SPECIES
B 10.81 B.upf
Ir 192.22 Ir.upf
Au 196.97 Au.upf
CELL_PARAMETERS angstrom
-1.704 0.428 2.211
-1.886 -1.970 0.732
4.129 -3.848 5.730
ATOMIC_POSITIONS crystal
B 0.000 0.000 0.000
Ir 0.729 0.729 0.814
Ir 0.271 0.271 0.186
Au 0.500 0.500 0.500

# 18
! B3IrAu | Alexandria | GGA-PBE | optimized geometry; values from VASP
! formation energy	2.069	eV per atom
! crystal system	cubic
! space-group type	Pm-3m
! offset from the most stable computed form	1082	meV/atom
&SYSTEM
  ibrav = 0, nat = 5, ntyp = 3
/
ATOMIC_SPECIES
B 10.81 B.upf
Ir 192.22 Ir.upf
Au 196.97 Au.upf
CELL_PARAMETERS angstrom
4.100 0.000 0.000
0.000 4.100 0.000
0.000 0.000 4.100
ATOMIC_POSITIONS crystal
B 0.000 0.500 0.000
B 0.000 0.000 0.500
B 0.500 0.000 0.000
Ir 0.500 0.500 0.500
Au 0.000 0.000 0.000

# 19
! B2IrAu | Alexandria | GGA-PBE | optimized geometry; values from VASP
! formation energy	0.311	eV per atom
! crystal system	orthorhombic
! space-group type	Amm2
! offset from the most stable computed form	199	meV/atom
&SYSTEM
  ibrav = 0, nat = 8, ntyp = 3
/
ATOMIC_SPECIES
B 10.81 B.upf
Ir 192.22 Ir.upf
Au 196.97 Au.upf
CELL_PARAMETERS angstrom
2.792 0.000 0.000
0.000 2.960 0.000
0.000 0.000 12.096
ATOMIC_POSITIONS crystal
B 0.500 0.000 0.215
B 0.500 0.500 0.715
B 0.500 0.000 0.924
B 0.500 0.500 0.424
Ir 0.000 0.000 0.353
Ir 0.000 0.500 0.853
Au 0.500 0.000 0.580
Au 0.500 0.500 0.080

# 20
! B2IrAu | Alexandria | GGA-PBE | optimized geometry; values from VASP
! formation energy	0.112	eV per atom
! crystal system	triclinic
! space-group type	P1
! offset from the most stable computed form	0	meV/atom
&SYSTEM
  ibrav = 0, nat = 4, ntyp = 3
/
ATOMIC_SPECIES
B 10.81 B.upf
Ir 192.22 Ir.upf
Au 196.97 Au.upf
CELL_PARAMETERS angstrom
2.910 0.001 0.021
1.454 3.717 -0.011
1.459 -0.545 4.995
ATOMIC_POSITIONS crystal
B 0.786 0.075 0.425
B 0.311 0.196 0.259
Ir 0.551 0.640 0.331
Au 0.445 0.353 0.842

| no. | electronic total energy (eV/atom) |
| --- | --- |
| 1 | -2.32 |
| 2 | -2.04 |
| 3 | -3.94 |
| 4 | -2.60 |
| 5 | -3.18 |
| 6 | -4.01 |
| 7 | -3.64 |
| 8 | -3.18 |
| 9 | -3.51 |
| 10 | -3.46 |
| 11 | -5.34 |
| 12 | -3.53 |
| 13 | -2.32 |
| 14 | -4.10 |
| 15 | -6.15 |
| 16 | -6.11 |
| 17 | -6.88 |
| 18 | -4.37 |
| 19 | -6.06 |
| 20 | -6.26 |